(1)
# GGA-PBE AcTlCd10, optimized geometry
data_AcTlCd10
_symmetry_space_group_name_H-M 'P m m m'
_symmetry_Int_Tables_number 47
_symmetry_space_group_name_Hall '-P 2 2'
_cell_length_a 4.906
_cell_length_b 6.086
_cell_length_c 10.399
_cell_angle_alpha 90.00
_cell_angle_beta 90.00
_cell_angle_gamma 90.00
loop_
_atom_site_label
_atom_site_type_symbol
_atom_site_fract_x
_atom_site_fract_y
_atom_site_fract_z
_atom_site_occupancy
Ac1 Ac 0.000 0.000 0.000 1
Tl1 Tl 0.000 0.500 0.500 1
Cd1 Cd 0.000 0.000 0.345 1
Cd2 Cd 0.000 0.500 0.187 1
Cd3 Cd 0.500 0.000 0.500 1
Cd4 Cd 0.500 0.238 0.236 1
Cd5 Cd 0.500 0.500 0.000 1
# Energy relative to the elements, eV per atom: -0.09
# Calculated volume, Å³ per cell: 310

---

(2)
# GGA-PBE TmLu2Al, optimized geometry
data_TmLu2Al
_symmetry_space_group_name_H-M 'F m -3 m'
_symmetry_Int_Tables_number 225
_symmetry_space_group_name_Hall '-F 4 2 3'
_cell_length_a 7.418
_cell_length_b 7.418
_cell_length_c 7.418
_cell_angle_alpha 90.00
_cell_angle_beta 90.00
_cell_angle_gamma 90.00
loop_
_atom_site_label
_atom_site_type_symbol
_atom_site_fract_x
_atom_site_fract_y
_atom_site_fract_z
_atom_site_occupancy
Tm1 Tm 0.000 0.000 0.000 1
Lu1 Lu 0.250 0.250 0.250 1
Al1 Al 0.000 0.000 0.500 1
# ΔE to the lowest computed polymorph, eV/f.u.: 0.60
# Energy relative to the elements, eV per atom: -0.05
# Calculated volume, Å³ per cell: 408

---

Number 1: calculated density 8.3 g/cm3, E_tot -1.39 eV/atom. Number 2: calculated density 8.9 g/cm3, E_tot -4.36 eV/atom.